Compound: Li2MnV4O14
Source: Alexandria
Functional: PBE with a Hubbard U
Structure: relaxed

* electronic total energy: -6.768 eV per atom

CIF file:
```
data_Li2MnV4O14
_symmetry_space_group_name_H-M 'C 1 2/m 1'
_symmetry_Int_Tables_number 12
_cell_length_a 20.786
_cell_length_b 3.618
_cell_length_c 7.703
_cell_angle_alpha 90.00
_cell_angle_beta 93.44
_cell_angle_gamma 90.00
loop_
_symmetry_equiv_pos_as_xyz
'x,y,z'
'-x,-y,-z'
'-x,y,-z'
'x,-y,z'
'x+1/2,y+1/2,z'
'-x+1/2,-y+1/2,-z'
'-x+1/2,y+1/2,-z'
'x+1/2,-y+1/2,z'
loop_
_atom_site_label
_atom_site_type_symbol
_atom_site_fract_x
_atom_site_fract_y
_atom_site_fract_z
Li1 Li 0.233 0.000 0.157
Mn1 Mn 0.000 0.000 0.000
V1 V 0.095 0.500 0.712
V2 V 0.104 0.000 0.385
O1 O 0.042 0.500 0.879
O2 O 0.068 0.000 0.177
O3 O 0.082 0.000 0.643
O4 O 0.085 0.500 0.449
O5 O 0.171 0.500 0.792
O6 O 0.182 0.000 0.369
O7 O 0.212 0.500 0.072
```